DFT (PBE-GGA) results for a relaxed Sc4GaTeSe2 crystal. Values from VASP.

Calculated values
For the formation energy from raw total energies, the calculation gives -9.7 eV per formula unit.

```
&SYSTEM
  ibrav = 0, nat = 8, ntyp = 4
/
ATOMIC_SPECIES
Sc 44.96 Sc.upf
Ga 69.72 Ga.upf
Te 127.60 Te.upf
Se 78.96 Se.upf
CELL_PARAMETERS angstrom
6.9097 0.0000 0.0000
0.0000 3.8895 0.0000
-2.2222 0.0000 6.5661
ATOMIC_POSITIONS crystal
Sc 0.2407 0.0000 0.2248
Sc 0.2495 0.5000 0.7617
Sc 0.7505 0.5000 0.2383
Sc 0.7593 0.0000 0.7752
Ga 0.5000 0.0000 0.0000
Te 0.5000 0.5000 0.5000
Se 0.0000 0.0000 0.5000
Se 0.0000 0.5000 0.0000
```



DFT (PBE-GGA) results for a relaxed SiPdSe2Br crystal. Values from VASP.

Calculated values
For the formation energy from raw total energies, the calculation gives 2.5 eV per formula unit.

```
&SYSTEM
  ibrav = 0, nat = 5, ntyp = 4
/
ATOMIC_SPECIES
Si 28.09 Si.upf
Pd 106.42 Pd.upf
Se 78.96 Se.upf
Br 79.90 Br.upf
CELL_PARAMETERS angstrom
4.8514 0.0000 0.0000
0.0000 4.8514 0.0000
0.0000 0.0000 4.9797
ATOMIC_POSITIONS crystal
Si 0.0000 0.0000 0.0000
Pd 0.5000 0.5000 0.5000
Se 0.0000 0.5000 0.0000
Se 0.5000 0.0000 0.0000
Br 0.0000 0.0000 0.5000
```



DFT (PBE-GGA) results for a relaxed Pm2SmErTm5 crystal. Values from VASP.

Calculated values
The energy relative to the elements comes out at 0.27 eV/atom.

```
&SYSTEM
  ibrav = 0, nat = 18, ntyp = 4
/
ATOMIC_SPECIES
Pm 145.00 Pm.upf
Sm 150.36 Sm.upf
Er 167.26 Er.upf
Tm 168.93 Tm.upf
CELL_PARAMETERS angstrom
-4.3259 4.3259 7.6349
4.3259 -4.3259 7.6349
4.3259 4.3259 -7.6349
ATOMIC_POSITIONS crystal
Pm 0.1162 0.6162 0.7325
Pm 0.3838 0.1162 0.5000
Pm 0.6162 0.8838 0.5000
Pm 0.8838 0.3838 0.2675
Sm 0.2500 0.2500 0.0000
Sm 0.7500 0.7500 0.0000
Er 0.2500 0.7500 0.5000
Er 0.7500 0.2500 0.5000
Tm 0.0000 0.0000 0.0000
Tm 0.0726 0.1513 0.5000
Tm 0.1513 0.6513 0.0788
Tm 0.3487 0.4274 0.5000
Tm 0.4274 0.9274 0.0788
Tm 0.5000 0.5000 0.0000
Tm 0.5726 0.0726 0.9212
Tm 0.6513 0.5726 0.5000
Tm 0.8487 0.3487 0.9212
Tm 0.9274 0.8487 0.5000
```



DFT (PBE-GGA) results for a relaxed CaNd6Y2Er crystal. Values from VASP.

Calculated values
The energy relative to the elements comes out at 0.14 eV/atom.

```
&SYSTEM
  ibrav = 0, nat = 20, ntyp = 4
/
ATOMIC_SPECIES
Ca 40.08 Ca.upf
Nd 144.24 Nd.upf
Y 88.91 Y.upf
Er 167.26 Er.upf
CELL_PARAMETERS angstrom
4.6321 -7.7751 0.0000
4.6321 7.7751 0.0000
-1.3630 0.0000 9.7459
ATOMIC_POSITIONS crystal
Ca 0.0972 0.9028 0.7500
Ca 0.9028 0.0972 0.2500
Nd 0.0060 0.7878 0.3780
Nd 0.0688 0.5262 0.1779
Nd 0.2122 0.9940 0.1220
Nd 0.2664 0.6138 0.5540
Nd 0.3862 0.7336 0.9460
Nd 0.4738 0.9312 0.3221
Nd 0.5262 0.0688 0.6779
Nd 0.6138 0.2664 0.0540
Nd 0.7336 0.3862 0.4460
Nd 0.7878 0.0060 0.8780
Nd 0.9312 0.4738 0.8221
Nd 0.9940 0.2122 0.6220
Y 0.2045 0.3002 0.9562
Y 0.3002 0.2045 0.4562
Y 0.6998 0.7955 0.5438
Y 0.7955 0.6998 0.0438
Er 0.4708 0.5292 0.2500
Er 0.5292 0.4708 0.7500
```



DFT (PBE-GGA) results for a relaxed SrTlBi4 crystal. Values from VASP.

Calculated values
The energy relative to the elements comes out at -0.25 eV/atom.

```
&SYSTEM
  ibrav = 0, nat = 12, ntyp = 3
/
ATOMIC_SPECIES
Sr 87.62 Sr.upf
Tl 204.38 Tl.upf
Bi 208.98 Bi.upf
CELL_PARAMETERS angstrom
5.6263 0.0000 0.0000
0.0000 6.9350 0.0000
0.0000 0.0000 10.2688
ATOMIC_POSITIONS crystal
Sr 0.0000 0.0000 0.0000
Sr 0.5000 0.5000 0.5000
Tl 0.0000 0.5000 0.0000
Tl 0.5000 0.0000 0.5000
Bi 0.0000 0.2368 0.3325
Bi 0.0000 0.2368 0.6675
Bi 0.0000 0.7632 0.3325
Bi 0.0000 0.7632 0.6675
Bi 0.5000 0.2632 0.1675
Bi 0.5000 0.2632 0.8325
Bi 0.5000 0.7368 0.1675
Bi 0.5000 0.7368 0.8325
```



DFT (PBE-GGA) results for a relaxed Y3TmMg6 crystal. Values from VASP.

Calculated values
The energy relative to the elements comes out at -0.08 eV/atom.

```
&SYSTEM
  ibrav = 0, nat = 20, ntyp = 3
/
ATOMIC_SPECIES
Y 88.91 Y.upf
Tm 168.93 Tm.upf
Mg 24.30 Mg.upf
CELL_PARAMETERS angstrom
9.2450 0.0000 0.0000
0.0000 5.2727 0.0000
-3.0407 0.0000 10.8226
ATOMIC_POSITIONS crystal
Y 0.0438 0.2500 0.3968
Y 0.1491 0.7500 0.2063
Y 0.2507 0.2500 0.0038
Y 0.7493 0.7500 0.9962
Y 0.8509 0.2500 0.7937
Y 0.9562 0.7500 0.6032
Tm 0.4511 0.2500 0.5984
Tm 0.5489 0.7500 0.4016
Mg 0.0574 0.7500 0.9010
Mg 0.1637 0.2500 0.7055
Mg 0.2581 0.7500 0.5109
Mg 0.3541 0.7500 0.8063
Mg 0.3590 0.2500 0.3018
Mg 0.4533 0.7500 0.1027
Mg 0.5467 0.2500 0.8973
Mg 0.6410 0.7500 0.6982
Mg 0.6459 0.2500 0.1937
Mg 0.7419 0.2500 0.4891
Mg 0.8363 0.7500 0.2945
Mg 0.9426 0.2500 0.0990
```